! GGA-PBE KAgGe, relaxed; values from VASP
&SYSTEM
  ibrav = 0, nat = 3, ntyp = 3
/
ATOMIC_SPECIES
Ge 72.64 Ge.upf
K 39.10 K.upf
Ag 107.87 Ag.upf
CELL_PARAMETERS angstrom
3.6305 0.0000 0.0000
0.0000 3.6305 0.0000
-1.8152 -1.8152 6.0971
ATOMIC_POSITIONS crystal
Ge 0.7118 0.7118 0.4236
K 0.0028 0.0028 0.0057
Ag 0.2854 0.2854 0.5707
! - Space-group type: I4mm
! - Formation energy: 0.058 eV/atom
! - ΔE to the lowest computed polymorph: 160 meV/atom


! GGA-PBE LiZr3Tc2, relaxed; values from VASP
&SYSTEM
  ibrav = 0, nat = 6, ntyp = 3
/
ATOMIC_SPECIES
Li 6.94 Li.upf
Zr 91.22 Zr.upf
Tc 98.00 Tc.upf
CELL_PARAMETERS angstrom
-1.3455 -0.3889 2.9973
2.9089 -1.0574 1.1686
2.6033 9.8686 2.4492
ATOMIC_POSITIONS crystal
Li 0.5000 0.5000 0.5000
Zr 0.0000 0.0000 0.0000
Zr 0.0000 0.0000 0.6944
Zr 0.0000 0.0000 0.3056
Tc 0.5000 0.5000 0.8360
Tc 0.5000 0.5000 0.1640
! - Space-group type: P4/mmm
! - Formation energy: -0.201 eV/atom


! GGA-PBE KRb2PtI6, relaxed; values from VASP
&SYSTEM
  ibrav = 0, nat = 10, ntyp = 4
/
ATOMIC_SPECIES
I 126.90 I.upf
K 39.10 K.upf
Rb 85.47 Rb.upf
Pt 195.08 Pt.upf
CELL_PARAMETERS angstrom
-1.4918 -6.5534 5.4201
7.6282 -3.4638 -2.0885
5.7180 -1.8878 6.1684
ATOMIC_POSITIONS crystal
I 0.2254 0.2254 0.5491
I 0.7746 0.7746 0.4509
I 0.2262 0.2262 0.0000
I 0.7738 0.7738 0.0000
I 0.7738 0.2262 0.0000
I 0.2262 0.7738 0.0000
K 0.5000 0.5000 0.0000
Rb 0.7500 0.2500 0.5000
Rb 0.2500 0.7500 0.5000
Pt 0.0000 0.0000 0.0000
! - Space-group type: I4/mmm
! - Uncorrected formation energy: -0.839 eV per atom
! - ΔE to the lowest computed polymorph: 37 meV/atom


! GGA-PBE Na2LiGa4Au3, relaxed; values from VASP
&SYSTEM
  ibrav = 0, nat = 10, ntyp = 4
/
ATOMIC_SPECIES
Na 22.99 Na.upf
Li 6.94 Li.upf
Ga 69.72 Ga.upf
Au 196.97 Au.upf
CELL_PARAMETERS angstrom
-2.7172 1.2104 -2.8542
1.5628 -2.7431 -2.6510
-7.7558 -8.1956 3.9079
ATOMIC_POSITIONS crystal
Na 0.5000 0.0000 0.2481
Na 0.0000 0.5000 0.7519
Li 0.5000 0.5000 0.5000
Ga 0.5000 0.5000 0.0000
Ga 0.0000 0.0000 0.0000
Ga 0.5000 0.0000 0.6423
Ga 0.0000 0.5000 0.3577
Au 0.0000 0.0000 0.5000
Au 0.5000 0.0000 0.8552
Au 0.0000 0.5000 0.1448
! - Space-group type: P-4m2
! - Formation energy: -0.284 eV/atom


! GGA-PBE DyBeCu3, relaxed; values from VASP
&SYSTEM
  ibrav = 0, nat = 5, ntyp = 3
/
ATOMIC_SPECIES
Be 9.01 Be.upf
Cu 63.55 Cu.upf
Dy 162.50 Dy.upf
CELL_PARAMETERS angstrom
4.2373 0.0000 0.0000
0.0000 4.2373 0.0000
0.0000 0.0000 4.2373
ATOMIC_POSITIONS crystal
Be 0.0000 0.0000 0.0000
Cu 0.0000 0.5000 0.0000
Cu 0.0000 0.0000 0.5000
Cu 0.5000 0.0000 0.0000
Dy 0.5000 0.5000 0.5000
! - Space-group type: Pm-3m
! - Formation energy: -0.037 eV/atom
! - ΔE to the lowest computed polymorph: 76 meV/atom